Here is a relaxed structure of Ho2B2Ru2C from Alexandria via LeMat-Bulk. Energies are from GGA-PBE.

POSCAR file:
```
Ho2B2Ru2C
1.0
5.4011 -1.8278 0.0000
5.4011 1.8278 0.0000
-3.9615 0.0000 5.2513
Ho B Ru C
2 2 2 1
Cartesian
-0.5742 0.0000 1.6710 Ho
7.4148 0.0000 3.5802 Ho
2.4354 0.0000 1.3650 B
4.4052 0.0000 3.8863 B
-0.3806 0.0000 4.6995 Ru
7.2212 0.0000 0.5518 Ru
5.4011 0.0000 0.0000 C
```

Results
For the total energy, the calculation gives -7.663 eV per atom. The space group is No. 12.